Record 1
DFT (PBE) results for an optimized crystal structure of CrTePbI2.

Values from the calculation:
For the energy above the most stable polymorph in this dataset, the calculation gives 0.000 eV/atom. As for the formation energy from raw total energies: -0.13 eV/f.u.

Geometry as CIF:
```
data_CrTePbI2
_chemical_formula_sum 'Cr1 Te1 Pb1 I2'
_cell_length_a 5.4404
_cell_length_b 5.4404
_cell_length_c 5.6112
_cell_angle_alpha 90.00
_cell_angle_beta 90.00
_cell_angle_gamma 90.00
_symmetry_space_group_name_H-M 'P 4/m m m'
_symmetry_Int_Tables_number 123
_symmetry_space_group_name_Hall '-P 4 2'
loop_
_atom_site_label
_atom_site_fract_x
_atom_site_fract_y
_atom_site_fract_z
Cr1 0.0000 0.0000 0.0000
Te1 0.0000 0.0000 0.5000
Pb1 0.5000 0.5000 0.5000
I1 0.0000 0.5000 0.0000
```

---

Record 2
DFT (PBE) results for an optimized crystal structure of CrTe2PbI.

Values from the calculation:
For the energy above the most stable polymorph in this dataset, the calculation gives 0.670 eV/atom. As for the formation energy from raw total energies: 3.60 eV/f.u.

Geometry as CIF:
```
data_CrTe2PbI
_chemical_formula_sum 'Cr1 Te2 Pb1 I1'
_cell_length_a 5.9001
_cell_length_b 5.9001
_cell_length_c 6.1257
_cell_angle_alpha 90.00
_cell_angle_beta 90.00
_cell_angle_gamma 90.00
_symmetry_space_group_name_H-M 'P 4/m m m'
_symmetry_Int_Tables_number 123
_symmetry_space_group_name_Hall '-P 4 2'
loop_
_atom_site_label
_atom_site_fract_x
_atom_site_fract_y
_atom_site_fract_z
Cr1 0.0000 0.0000 0.0000
Te1 0.0000 0.5000 0.5000
Pb1 0.5000 0.5000 0.5000
I1 0.5000 0.5000 0.0000
```

---

Record 3
DFT (PBE) results for an optimized crystal structure of CrTePbI2.

Values from the calculation:
For the energy above the most stable polymorph in this dataset, the calculation gives 0.532 eV/atom. As for the formation energy from raw total energies: 2.53 eV/f.u.

Geometry as CIF:
```
data_CrTePbI2
_chemical_formula_sum 'Cr1 Te1 Pb1 I2'
_cell_length_a 6.1601
_cell_length_b 6.1601
_cell_length_c 6.0222
_cell_angle_alpha 90.00
_cell_angle_beta 90.00
_cell_angle_gamma 90.00
_symmetry_space_group_name_H-M 'P 4/m m m'
_symmetry_Int_Tables_number 123
_symmetry_space_group_name_Hall '-P 4 2'
loop_
_atom_site_label
_atom_site_fract_x
_atom_site_fract_y
_atom_site_fract_z
Cr1 0.0000 0.0000 0.0000
Te1 0.5000 0.5000 0.0000
Pb1 0.5000 0.5000 0.5000
I1 0.0000 0.5000 0.5000
```

---

Record 4
DFT (PBE) results for an optimized crystal structure of CrTe2PbI.

Values from the calculation:
For the energy above the most stable polymorph in this dataset, the calculation gives 0.000 eV/atom. As for the formation energy from raw total energies: 0.25 eV/f.u.

Geometry as CIF:
```
data_CrTe2PbI
_chemical_formula_sum 'Cr1 Te2 Pb1 I1'
_cell_length_a 5.3755
_cell_length_b 5.3755
_cell_length_c 5.4609
_cell_angle_alpha 90.00
_cell_angle_beta 90.00
_cell_angle_gamma 90.00
_symmetry_space_group_name_H-M 'P 4/m m m'
_symmetry_Int_Tables_number 123
_symmetry_space_group_name_Hall '-P 4 2'
loop_
_atom_site_label
_atom_site_fract_x
_atom_site_fract_y
_atom_site_fract_z
Cr1 0.0000 0.0000 0.0000
Te1 0.0000 0.5000 0.0000
Pb1 0.5000 0.5000 0.5000
I1 0.0000 0.0000 0.5000
```

---

Record 5
DFT (PBE) results for an optimized crystal structure of Cr2TePbI.

Values from the calculation:
As for the formation energy from raw total energies: 4.74 eV/f.u.

Geometry as CIF:
```
data_Cr2TePbI
_chemical_formula_sum 'Cr2 Te1 Pb1 I1'
_cell_length_a 5.2425
_cell_length_b 5.2425
_cell_length_c 6.2642
_cell_angle_alpha 90.00
_cell_angle_beta 90.00
_cell_angle_gamma 90.00
_symmetry_space_group_name_H-M 'P 4/m m m'
_symmetry_Int_Tables_number 123
_symmetry_space_group_name_Hall '-P 4 2'
loop_
_atom_site_label
_atom_site_fract_x
_atom_site_fract_y
_atom_site_fract_z
Cr1 0.0000 0.5000 0.0000
Te1 0.0000 0.0000 0.5000
Pb1 0.5000 0.5000 0.5000
I1 0.5000 0.5000 0.0000
```

---

Record 6
DFT (PBE) results for an optimized crystal structure of TlCrPbI2.

Values from the calculation:
As for the formation energy from raw total energies: 0.40 eV/f.u.

Geometry as CIF:
```
data_TlCrPbI2
_chemical_formula_sum 'Tl1 Cr1 Pb1 I2'
_cell_length_a 5.6324
_cell_length_b 5.6324
_cell_length_c 5.4835
_cell_angle_alpha 90.00
_cell_angle_beta 90.00
_cell_angle_gamma 90.00
_symmetry_space_group_name_H-M 'P 4/m m m'
_symmetry_Int_Tables_number 123
_symmetry_space_group_name_Hall '-P 4 2'
loop_
_atom_site_label
_atom_site_fract_x
_atom_site_fract_y
_atom_site_fract_z
Tl1 0.0000 0.0000 0.0000
Cr1 0.5000 0.5000 0.5000
Pb1 0.5000 0.5000 0.0000
I1 0.0000 0.5000 0.5000
```

---

Record 7
DFT (PBE) results for an optimized crystal structure of VCr2PbI.

Values from the calculation:
As for the formation energy from raw total energies: 6.27 eV/f.u.

Geometry as CIF:
```
data_VCr2PbI
_chemical_formula_sum 'V1 Cr2 Pb1 I1'
_cell_length_a 5.3003
_cell_length_b 5.3003
_cell_length_c 5.3709
_cell_angle_alpha 90.00
_cell_angle_beta 90.00
_cell_angle_gamma 90.00
_symmetry_space_group_name_H-M 'P 4/m m m'
_symmetry_Int_Tables_number 123
_symmetry_space_group_name_Hall '-P 4 2'
loop_
_atom_site_label
_atom_site_fract_x
_atom_site_fract_y
_atom_site_fract_z
V1 0.0000 0.0000 0.0000
Cr1 0.0000 0.5000 0.5000
Pb1 0.0000 0.0000 0.5000
I1 0.5000 0.5000 0.0000
```

---

Record 8
DFT (PBE) results for an optimized crystal structure of Cr2PdI2.

Values from the calculation:
For the energy above the most stable polymorph in this dataset, the calculation gives 0.000 eV/atom. As for the formation energy from raw total energies: 2.97 eV/f.u.

Geometry as CIF:
```
data_Cr2PdI2
_chemical_formula_sum 'Cr4 Pd2 I4'
_cell_length_a 7.8166
_cell_length_b 7.8166
_cell_length_c 3.9503
_cell_angle_alpha 90.00
_cell_angle_beta 90.00
_cell_angle_gamma 90.00
_symmetry_space_group_name_H-M 'P 4/m b m'
_symmetry_Int_Tables_number 127
_symmetry_space_group_name_Hall '-P 4 2ab'
loop_
_atom_site_label
_atom_site_fract_x
_atom_site_fract_y
_atom_site_fract_z
Cr1 0.1422 0.3578 0.0000
Pd1 0.0000 0.0000 0.5000
I1 0.1715 0.6715 0.5000
```

---

Record 9
DFT (PBE) results for an optimized crystal structure of CrPd2I.

Values from the calculation:
For the energy above the most stable polymorph in this dataset, the calculation gives 0.048 eV/atom. As for the formation energy from raw total energies: 1.59 eV/f.u.

Geometry as CIF:
```
data_CrPd2I
_chemical_formula_sum 'Cr4 Pd8 I4'
_cell_length_a 7.5195
_cell_length_b 7.5195
_cell_length_c 5.5395
_cell_angle_alpha 90.00
_cell_angle_beta 90.00
_cell_angle_gamma 90.00
_symmetry_space_group_name_H-M 'I -4 2 d'
_symmetry_Int_Tables_number 122
_symmetry_space_group_name_Hall 'I -4 2bw'
loop_
_atom_site_label
_atom_site_fract_x
_atom_site_fract_y
_atom_site_fract_z
Cr1 0.0000 0.0000 0.0000
Pd1 0.2385 0.7500 0.1250
I1 0.0000 0.0000 0.5000
```

---

Record 10
DFT (PBE) results for an optimized crystal structure of CrPd2I.

Values from the calculation:
For the energy above the most stable polymorph in this dataset, the calculation gives 0.000 eV/atom. As for the formation energy from raw total energies: 1.39 eV/f.u.

Geometry as CIF:
```
data_CrPd2I
_chemical_formula_sum 'Cr4 Pd8 I4'
_cell_length_a 6.6646
_cell_length_b 6.6646
_cell_length_c 6.6646
_cell_angle_alpha 90.00
_cell_angle_beta 90.00
_cell_angle_gamma 90.00
_symmetry_space_group_name_H-M 'F m -3 m'
_symmetry_Int_Tables_number 225
_symmetry_space_group_name_Hall '-F 4 2 3'
loop_
_atom_site_label
_atom_site_fract_x
_atom_site_fract_y
_atom_site_fract_z
Cr1 0.0000 0.0000 0.0000
Pd1 0.2500 0.2500 0.2500
I1 0.0000 0.0000 0.5000
```

---

Record 11
DFT (PBE) results for an optimized crystal structure of Cr2PdI2.

Values from the calculation:
For the energy above the most stable polymorph in this dataset, the calculation gives 0.075 eV/atom. As for the formation energy from raw total energies: 3.35 eV/f.u.

Geometry as CIF:
```
data_Cr2PdI2
_chemical_formula_sum 'Cr4 Pd2 I4'
_cell_length_a 3.4802
_cell_length_b 3.4802
_cell_length_c 16.2582
_cell_angle_alpha 90.00
_cell_angle_beta 90.00
_cell_angle_gamma 90.00
_symmetry_space_group_name_H-M 'I 4/m m m'
_symmetry_Int_Tables_number 139
_symmetry_space_group_name_Hall '-I 4 2'
loop_
_atom_site_label
_atom_site_fract_x
_atom_site_fract_y
_atom_site_fract_z
Cr1 0.0000 0.5000 0.2500
Pd1 0.0000 0.0000 0.0000
I1 0.0000 0.0000 0.3802
```

---

Record 12
DFT (PBE) results for an optimized crystal structure of CrPdI3.

Values from the calculation:
For the energy above the most stable polymorph in this dataset, the calculation gives 0.000 eV/atom. As for the formation energy from raw total energies: 1.73 eV/f.u.

Geometry as CIF:
```
data_CrPdI3
_chemical_formula_sum 'Cr1 Pd1 I3'
_cell_length_a 5.5059
_cell_length_b 5.5059
_cell_length_c 5.5059
_cell_angle_alpha 90.00
_cell_angle_beta 90.00
_cell_angle_gamma 90.00
_symmetry_space_group_name_H-M 'P m -3 m'
_symmetry_Int_Tables_number 221
_symmetry_space_group_name_Hall '-P 4 2 3'
loop_
_atom_site_label
_atom_site_fract_x
_atom_site_fract_y
_atom_site_fract_z
Cr1 0.0000 0.0000 0.0000
Pd1 0.5000 0.5000 0.5000
I1 0.0000 0.5000 0.5000
```

---

| no. | E_tot (eV per atom) |
| --- | --- |
| 1 | -3.940 |
| 2 | -3.514 |
| 3 | -3.408 |
| 4 | -4.184 |
| 5 | -4.582 |
| 6 | -3.680 |
| 7 | -5.470 |
| 8 | -4.913 |
| 9 | -4.993 |
| 10 | -5.041 |
| 11 | -4.838 |
| 12 | -3.547 |